1.
{
  "formula": "YSc2CrGe",
  "functional": "PBE",
  "state": "relaxed",
  "lattice": [[5.205, 0.000, 0.000], [0.000, 4.782, 0.000], [0.000, 0.000, 5.205]],
  "species": ["Y", "Cr", "Ge", "Sc", "Sc"],
  "fractional_positions": [[0.000, 0.000, 0.000], [0.000, 0.500, 0.000], [0.500, 0.500, 0.500], [0.000, 0.000, 0.500], [0.500, 0.000, 0.000]],
  "relative_energy_mev_per_atom": 962,
  "crystal_system": "tetragonal",
  "formation_energy_ev_per_atom": 1.3088
}

---

2.
{
  "formula": "Pr3NpP4",
  "functional": "PBE",
  "state": "relaxed",
  "lattice": [[-3.688, 4.998, -3.562], [-3.807, -2.206, 5.668], [3.499, 5.891, 4.643]],
  "species": ["Pr", "Pr", "Pr", "Pr", "Pr", "Pr", "Np", "Np", "P", "P", "P", "P", "P", "P", "P", "P"],
  "fractional_positions": [[0.750, 0.000, 0.375], [0.250, 0.000, 0.625], [0.750, 0.500, 0.624], [0.750, 0.500, 0.125], [0.250, 0.500, 0.376], [0.250, 0.500, 0.875], [0.750, 0.000, 0.876], [0.250, 0.000, 0.124], [0.991, 0.243, 0.634], [0.502, 0.234, 0.883], [0.491, 0.243, 0.366], [0.002, 0.234, 0.117], [0.998, 0.766, 0.883], [0.509, 0.757, 0.634], [0.498, 0.766, 0.117], [0.009, 0.757, 0.366]],
  "crystal_system": "monoclinic",
  "formation_energy_ev_per_atom": -1.3395
}

---

Record-wise uncorrected energy values, in Ha/atom: -0.1972; -0.2739
Record-wise spin magnetization values, in Bohr magnetons per cell: 3.262; 6.996
Record-wise D(E_F) values, in states/eV per cell: 5.54; 25.44